Record 1
DFT (GGA-PBE) results for a relaxed structure of SiGe3Au.

Calculated values
The value obtained for the electronic total energy is -3.86 eV/atom. Its formation energy (no corrections) is 0.65 eV per atom. The calculation puts the total moment at 0.00 μB per atom.

Lattice parameters (Å, degrees): 4.7474 4.7474 4.7474 90.00 90.00 90.00
Closest atoms and distances in Å follow each position.
Space group Pm-3m (No. 221)
Inequivalent atoms, fractional coordinates:
Si  0.0000  0.0000  0.0000 (multiplicity 1)  6 Ge 2.37
Ge  0.0000  0.0000  0.5000 (multiplicity 3)  2 Si 2.37
Au  0.5000  0.5000  0.5000 (multiplicity 1)  12 Ge 3.36

***

Record 2
DFT (GGA-PBE) results for a relaxed structure of PrZnGe2Rh.

Calculated values
The formation energy from the elements is -0.663 eV/atom. The value obtained for the electronic total energy is -5.19 eV/atom. The calculation puts the total moment at 0.00 μB per atom.

Lattice parameters (Å, degrees): 4.1636 4.1636 10.8763 90.00 90.00 90.00
Closest atoms and distances in Å follow each position.
Space group I-4m2 (No. 119)
Inequivalent atoms, fractional coordinates:
Pr  0.0000  0.0000  0.0000 (multiplicity 2)  8 Ge 3.21, 4 Rh 3.42, 4 Zn 3.42
Zn  0.0000  0.5000  0.7500 (multiplicity 2)  4 Ge 2.53
Ge  0.0000  0.0000  0.3824 (multiplicity 4)  2 Rh 2.53, 2 Zn 2.53, 1 Ge 2.56
Rh  0.0000  0.5000  0.2500 (multiplicity 2)  4 Ge 2.53

***

Record 3
DFT (GGA-PBE) results for a relaxed structure of Os2W.

Calculated values
The formation energy from the elements is 0.149 eV/atom. The value obtained for the electronic total energy is -11.65 eV/atom. The calculation puts the total moment at 0.00 μB per atom.

Lattice parameters (Å, degrees): 4.3909 4.3909 5.4584 90.00 90.00 120.00
Closest atoms and distances in Å follow each position.
Space group P6_3/mmc (No. 194)
Inequivalent atoms, fractional coordinates:
Os  0.0000  0.0000  0.0000 (multiplicity 2)  8 Os 2.73-2.88, 6 W 2.88
Os  0.3333  0.6667  0.2500 (multiplicity 2)  5 W 2.54-2.73
W  0.3333  0.6667  0.7500 (multiplicity 2)  5 Os 2.54-2.73

***

Record 4
DFT (GGA-PBE) results for a relaxed structure of Ac2GePt.

Calculated values
The formation energy from the elements is -0.910 eV/atom. The value obtained for the electronic total energy is -5.63 eV/atom. The calculation puts the total moment at 0.00 μB per atom.

Lattice parameters (Å, degrees): 6.2724 4.5930 8.7838 90.00 110.64 90.00
Closest atoms and distances in Å follow each position.
Space group P2_1/m (No. 11)
Inequivalent atoms, fractional coordinates:
Ac  0.2279  0.2500  0.4175 (multiplicity 2)  3 Pt 3.17-3.47, 4 Ge 3.29-3.32
Ac  0.2276  0.2500  0.9416 (multiplicity 2)  4 Pt 3.17-3.42, 3 Ge 3.31-3.33
Ge  0.3353  0.7500  0.7072 (multiplicity 2)  2 Pt 3.00, 7 Ac 3.29-3.33
Pt  0.3356  0.7500  0.2069 (multiplicity 2)  2 Ge 3.00, 5 Ac 3.17-3.31